No. 1
Material: TiCd2Au2
Method: DFT, PBE
State: relaxed

POSCAR file:
```
TiCd2Au2
1.0
7.9780 0.0000 0.0000
0.0000 7.9780 0.0000
0.0000 0.0000 3.1262
Ti Cd Au
2 4 4
direct
0.0000 0.0000 0.0000
0.5000 0.5000 0.0000
0.1294 0.3706 0.0000
0.3706 0.8706 0.0000
0.6294 0.1294 0.0000
0.8706 0.6294 0.0000
0.1715 0.6715 0.5000
0.3285 0.1715 0.5000
0.6715 0.8285 0.5000
0.8285 0.3285 0.5000
```

Values from the calculation:
Space-group type: P4/mbm, No. 127
Total magnetic moment in μB/f.u.: 2.04
Distance to the lowest polymorph of the same formula in meV per atom: 69

No. 2
Material: HfSc2Ir4
Method: DFT, PBE
State: relaxed

POSCAR file:
```
HfSc2Ir4
1.0
-3.1742 3.1742 3.1189
3.1742 -3.1742 3.1189
3.1742 3.1742 -3.1189
Hf Sc Ir
1 2 4
direct
0.0000 0.0000 0.0000
0.0000 0.5000 0.5000
0.5000 0.0000 0.5000
0.0000 0.0000 0.5000
0.0000 0.5000 0.0000
0.5000 0.0000 0.0000
0.5000 0.5000 0.5000
```

Values from the calculation:
Calculated total energy in eV per cell: -61.91
Space-group type: I4/mmm, No. 139
Total magnetic moment in μB/f.u.: 0.00

No. 3
Material: K2RbCa2
Method: DFT, PBE
State: relaxed

POSCAR file:
```
K2RbCa2
1.0
-2.8629 2.8629 10.1667
2.8629 -2.8629 10.1667
2.8629 2.8629 -10.1667
K Rb Ca
2 1 2
direct
0.2500 0.7500 0.5000
0.7500 0.2500 0.5000
0.0000 0.0000 0.0000
0.4073 0.4073 0.0000
0.5927 0.5927 0.0000
```

Values from the calculation:
Space-group type: I4/mmm, No. 139
Total magnetic moment in μB/f.u.: 0.00
Distance to the lowest polymorph of the same formula in meV per atom: 111

No. 4
Material: Ac2ThNi6
Method: DFT, PBE
State: relaxed

POSCAR file:
```
Ac2ThNi6
1.0
7.1587 0.0000 0.0000
-3.5793 6.1996 0.0000
0.0000 0.0000 4.0478
Ac Th Ni
2 1 6
direct
0.3333 0.6667 0.0000
0.6667 0.3333 0.0000
0.0000 0.0000 0.0000
0.0000 0.3273 0.5000
0.0000 0.6727 0.5000
0.3273 0.0000 0.5000
0.3273 0.3273 0.5000
0.6727 0.0000 0.5000
0.6727 0.6727 0.5000
```

Values from the calculation:
Calculated total energy in eV per cell: -53.08
Space-group type: P6/mmm, No. 191
Total magnetic moment in μB/f.u.: 0.00

No. 5
Material: KTl2Co
Method: DFT, PBE
State: relaxed

POSCAR file:
```
KTl2Co
1.0
3.3253 -5.3175 0.0000
3.3253 5.3175 0.0000
-1.0042 0.0000 3.0001
K Tl Co
1 2 1
direct
0.0000 0.0000 0.0000
0.0000 0.5000 0.5000
0.5000 0.0000 0.5000
0.5000 0.5000 0.0000
```

Values from the calculation:
Calculated total energy in eV per cell: -10.27
Space-group type: C2/m, No. 12
Total magnetic moment in μB/f.u.: 1.62

No. 6
Material: InCuAg2S4
Method: DFT, PBE
State: relaxed

POSCAR file:
```
InCuAg2S4
1.0
-2.8665 2.8665 5.5134
2.8665 -2.8665 5.5134
2.8665 2.8665 -5.5134
In Cu Ag S
1 1 2 4
direct
0.0000 0.0000 0.0000
0.7500 0.2500 0.5000
0.2500 0.7500 0.5000
0.5000 0.5000 0.0000
0.0981 0.5985 0.9636
0.4015 0.3652 0.4997
0.6348 0.1345 0.0364
0.8655 0.9019 0.5003
```

Values from the calculation:
Space-group type: I-4, No. 82
Total magnetic moment in μB/f.u.: 0.00
Uncorrected formation energy in eV/atom: -0.204

No. 7
Material: Dy2HoCo6
Method: DFT, PBE
State: relaxed

POSCAR file:
```
Dy2HoCo6
1.0
6.6525 0.0000 0.0000
-3.3263 5.7613 0.0000
0.0000 0.0000 4.0251
Dy Ho Co
2 1 6
direct
0.3333 0.6667 0.0000
0.6667 0.3333 0.0000
0.0000 0.0000 0.0000
0.0000 0.3331 0.5000
0.0000 0.6669 0.5000
0.3331 0.0000 0.5000
0.3331 0.3331 0.5000
0.6669 0.0000 0.5000
0.6669 0.6669 0.5000
```

Values from the calculation:
Calculated total energy in eV per cell: -58.10
Space-group type: P6/mmm, No. 191
Total magnetic moment in μB/f.u.: 4.37

No. 8
Material: BaTcGeO6
Method: DFT, PBE
State: relaxed

POSCAR file:
```
BaTcGeO6
1.0
5.2149 0.0000 0.0000
-2.6074 4.5162 0.0000
0.0000 0.0000 5.7240
Ba Tc Ge O
1 1 1 6
direct
0.0000 0.0000 0.0000
0.3333 0.6667 0.5000
0.6667 0.3333 0.5000
0.4084 0.0015 0.6937
0.4084 0.4070 0.3063
0.5930 0.0015 0.3063
0.5930 0.5916 0.6937
0.9985 0.4070 0.6937
0.9985 0.5916 0.3063
```

Values from the calculation:
Space-group type: P312, No. 149
Total magnetic moment in μB/f.u.: 0.97
Uncorrected formation energy in eV/atom: -1.846

No. 9
Material: Na2SmAu3
Method: DFT, PBE
State: relaxed

POSCAR file:
```
Na2SmAu3
1.0
5.0620 0.0000 0.0000
-2.5310 4.3838 0.0000
0.0000 0.0000 12.3601
Na Sm Au
4 2 6
direct
0.0000 0.0000 0.0000
0.0000 0.0000 0.5000
0.3333 0.6667 0.1536
0.6667 0.3333 0.8464
0.3333 0.6667 0.6653
0.6667 0.3333 0.3347
0.0000 0.0000 0.2543
0.0000 0.0000 0.7457
0.3333 0.6667 0.4098
0.3333 0.6667 0.9056
0.6667 0.3333 0.0944
0.6667 0.3333 0.5902
```

Values from the calculation:
Calculated total energy in eV per cell: -40.37
Space-group type: P-3m1, No. 164
Total magnetic moment in μB/f.u.: 0.00

No. 10
Material: CePmCd3
Method: DFT, PBE
State: relaxed

POSCAR file:
```
CePmCd3
1.0
9.3602 0.0000 0.0000
0.0000 5.4575 0.0000
-3.1716 0.0000 10.5692
Ce Pm Cd
4 4 12
direct
0.2077 0.2480 0.4156
0.2077 0.2520 0.9156
0.7923 0.7480 0.0844
0.7923 0.7520 0.5844
0.2047 0.7477 0.1863
0.2047 0.7523 0.6863
0.7952 0.2477 0.3137
0.7952 0.2523 0.8137
0.0022 0.7474 0.3902
0.0022 0.7526 0.8902
0.4127 0.7488 0.4955
0.4127 0.7512 0.9955
0.4167 0.2474 0.2111
0.4167 0.2526 0.7111
0.5833 0.7474 0.2889
0.5833 0.7526 0.7889
0.5873 0.2488 0.0045
0.5873 0.2512 0.5045
0.9978 0.2474 0.1098
0.9978 0.2526 0.6098
```

Values from the calculation:
Space-group type: P2_1/c, No. 14
Total magnetic moment in μB/f.u.: 1.26
Distance to the lowest polymorph of the same formula in meV per atom: 69

No. 11
Material: DyHfTaN3
Method: DFT, PBE
State: relaxed

POSCAR file:
```
DyHfTaN3
1.0
5.6091 0.0000 0.0000
0.0000 3.2369 0.0000
-1.8624 0.0000 8.1657
Dy Hf Ta N
2 2 2 6
direct
0.1488 0.2500 0.1903
0.8512 0.7500 0.8097
0.2670 0.7500 0.5480
0.7330 0.2500 0.4520
0.3741 0.2500 0.8648
0.6259 0.7500 0.1352
0.0583 0.2500 0.6594
0.2426 0.7500 0.9923
0.4596 0.7500 0.3453
0.5404 0.2500 0.6547
0.7574 0.2500 0.0077
0.9417 0.7500 0.3406
```

Values from the calculation:
Space-group type: P2_1/m, No. 11
Total magnetic moment in μB/f.u.: 0.00
Uncorrected formation energy in eV/atom: -1.547

No. 12
Material: TmLu2Sc
Method: DFT, PBE
State: relaxed

POSCAR file:
```
TmLu2Sc
1.0
1.7132 0.9891 11.1168
-1.7132 0.9891 11.1168
0.0000 -1.9782 11.1168
Tm Lu Sc
1 2 1
direct
0.0000 0.0000 0.0000
0.2476 0.2476 0.2476
0.7524 0.7524 0.7524
0.5000 0.5000 0.5000
```

Values from the calculation:
Space-group type: R-3m, No. 166
Total magnetic moment in μB/f.u.: 0.00
Distance to the lowest polymorph of the same formula in meV per atom: 3